# 1
A plane-wave DFT calculation with PBE was carried out for a relaxed structure of Rb6TlI8.

Cell lengths 10.9830, 10.9830, 7.2958 Å; angles 90.00, 90.00, 120.00 degrees
Element x y z (fractional)
Rb 0.0014 0.6276 0.2353
Rb 0.3724 0.3737 0.2353
Rb 0.3737 0.0014 0.7647
Rb 0.6263 0.9986 0.2353
Rb 0.6276 0.6263 0.7647
Rb 0.9986 0.3724 0.7647
Tl 0.0000 0.0000 0.0000
I 0.0011 0.7205 0.7372
I 0.2795 0.2806 0.7372
I 0.2806 0.0011 0.2628
I 0.3333 0.6667 0.0001
I 0.6667 0.3333 0.9999
I 0.7194 0.9989 0.7372
I 0.7205 0.7194 0.2628
I 0.9989 0.2795 0.2628

Calculated values
As for the space group: P-3.



# 2
A plane-wave DFT calculation with PBE was carried out for a relaxed structure of Sr3OsBr2O6.

Cell lengths 6.9726, 6.9726, 6.1110 Å; angles 96.20, 96.20, 59.36 degrees
Element x y z (fractional)
Sr 0.0000 0.0000 0.0000
Sr 0.0000 0.5000 0.5000
Sr 0.5000 0.0000 0.5000
Os 0.5000 0.5000 0.5000
Br 0.2256 0.2256 0.8867
Br 0.7744 0.7744 0.1133
O 0.2548 0.6513 0.6827
O 0.3487 0.7452 0.3173
O 0.3553 0.3553 0.3460
O 0.6447 0.6447 0.6540
O 0.6513 0.2548 0.6827
O 0.7452 0.3487 0.3173

Calculated values
As for the space group: C2/m.



no.,M_tot (Bohr magnetons per cell),formation energy without anion corrections (meV/atom)
1,0.62,-1196
2,0.00,-1726